First-principles (meta-GGA SCAN) data for AgPSe4 at its PBEsol-relaxed geometry, as listed in Alexandria via LeMat-Bulk.

Unit cell a=5.552 b=5.552 c=5.552 alpha=60.00 beta=60.00 gamma=60.00
Positions (direct):
Ag (0.000, 0.000, 0.000)
P (0.750, 0.750, 0.750)
Se (0.375, 0.375, 0.375)
Se (0.375, 0.375, 0.874)
Se (0.375, 0.874, 0.375)
Se (0.874, 0.375, 0.375)

Calculated values
Formation energy (no corrections), kcal/mol of atoms: 22.215



First-principles (meta-GGA SCAN) data for ZnCuRh2 at its PBEsol-relaxed geometry, as listed in Alexandria via LeMat-Bulk.

Unit cell a=4.149 b=4.149 c=2.982 alpha=90.00 beta=90.00 gamma=90.00
Positions (direct):
Zn (0.000, 0.000, 0.000)
Cu (0.500, 0.500, 0.000)
Rh (0.000, 0.500, 0.500)
Rh (0.500, 0.000, 0.500)

Calculated values
Formation energy, eV/atom: -0.12



First-principles (meta-GGA SCAN) data for Dy14Ag51 at its PBEsol-relaxed geometry, as listed in Alexandria via LeMat-Bulk.

Unit cell a=12.479 b=12.479 c=9.159 alpha=90.00 beta=90.00 gamma=120.00
Positions (direct):
Dy (0.000, 0.000, 0.193)
Dy (0.000, 0.000, 0.807)
Dy (0.114, 0.731, 0.500)
Dy (0.140, 0.470, 0.000)
Dy (0.269, 0.383, 0.500)
Dy (0.330, 0.860, 0.000)
Dy (0.399, 0.114, 0.500)
Dy (0.466, 0.327, 0.000)
Dy (0.530, 0.670, 0.000)
Dy (0.617, 0.886, 0.500)
Dy (0.673, 0.139, 0.000)
Dy (0.715, 0.601, 0.500)
Dy (0.861, 0.534, 0.000)
Dy (0.886, 0.285, 0.500)
Ag (0.057, 0.822, 0.000)
Ag (0.078, 0.272, 0.257)
Ag (0.078, 0.272, 0.743)
Ag (0.103, 0.667, 0.167)
Ag (0.103, 0.667, 0.833)
Ag (0.115, 0.498, 0.348)
Ag (0.115, 0.498, 0.652)
Ag (0.129, 0.004, 0.500)
Ag (0.178, 0.235, 0.000)
Ag (0.194, 0.922, 0.257)
Ag (0.194, 0.922, 0.743)
Ag (0.241, 0.060, 0.000)
Ag (0.260, 0.185, 0.272)
Ag (0.260, 0.185, 0.728)
Ag (0.333, 0.437, 0.167)
Ag (0.333, 0.437, 0.833)
Ag (0.333, 0.667, 0.198)
Ag (0.333, 0.667, 0.500)
Ag (0.333, 0.667, 0.802)
Ag (0.383, 0.885, 0.348)
Ag (0.383, 0.885, 0.652)
Ag (0.442, 0.105, 0.167)
Ag (0.442, 0.105, 0.833)
Ag (0.490, 0.374, 0.347)
Ag (0.490, 0.374, 0.653)
Ag (0.502, 0.617, 0.348)
Ag (0.502, 0.617, 0.652)
Ag (0.563, 0.897, 0.167)
Ag (0.563, 0.897, 0.833)
Ag (0.626, 0.116, 0.347)
Ag (0.626, 0.116, 0.653)
Ag (0.663, 0.558, 0.167)
Ag (0.663, 0.558, 0.833)
Ag (0.667, 0.333, 0.197)
Ag (0.667, 0.333, 0.500)
Ag (0.667, 0.333, 0.803)
Ag (0.728, 0.806, 0.257)
Ag (0.728, 0.806, 0.743)
Ag (0.765, 0.943, 0.000)
Ag (0.815, 0.075, 0.272)
Ag (0.815, 0.075, 0.728)
Ag (0.819, 0.759, 0.000)
Ag (0.875, 0.871, 0.500)
Ag (0.884, 0.510, 0.347)
Ag (0.884, 0.510, 0.653)
Ag (0.895, 0.337, 0.167)
Ag (0.895, 0.337, 0.833)
Ag (0.925, 0.740, 0.272)
Ag (0.925, 0.740, 0.728)
Ag (0.940, 0.181, 0.000)
Ag (0.996, 0.125, 0.500)

Calculated values
Formation energy, eV/atom: -0.26



First-principles (meta-GGA SCAN) data for CaLa3 at its PBEsol-relaxed geometry, as listed in Alexandria via LeMat-Bulk.

Unit cell a=3.658 b=3.658 c=36.705 alpha=90.00 beta=90.00 gamma=120.00
Positions (direct):
Ca (0.000, 0.000, 0.000)
Ca (0.333, 0.667, 0.667)
Ca (0.667, 0.333, 0.333)
La (0.000, 0.000, 0.246)
La (0.000, 0.000, 0.500)
La (0.000, 0.000, 0.754)
La (0.333, 0.667, 0.167)
La (0.333, 0.667, 0.421)
La (0.333, 0.667, 0.913)
La (0.667, 0.333, 0.087)
La (0.667, 0.333, 0.579)
La (0.667, 0.333, 0.833)

Calculated values
Formation energy, eV/atom: 0.03



First-principles (meta-GGA SCAN) data for Ag4Cl3 at its PBEsol-relaxed geometry, as listed in Alexandria via LeMat-Bulk.

Unit cell a=5.810 b=5.810 c=4.920 alpha=90.00 beta=90.00 gamma=120.00
Positions (direct):
Ag (0.000, 0.000, 0.248)
Ag (0.000, 0.000, 0.752)
Ag (0.333, 0.667, 0.000)
Ag (0.667, 0.333, 0.000)
Cl (0.000, 0.500, 0.500)
Cl (0.500, 0.000, 0.500)
Cl (0.500, 0.500, 0.500)

Calculated values
Formation energy (no corrections), kcal/mol of atoms: 6.457



First-principles (meta-GGA SCAN) data for Dy5Mo2O12 at its PBEsol-relaxed geometry, as listed in Alexandria via LeMat-Bulk.

Unit cell a=6.715 b=6.715 c=7.470 alpha=106.32 beta=106.32 gamma=49.99
Positions (direct):
Dy (0.000, 0.000, 0.000)
Dy (0.306, 0.306, 0.140)
Dy (0.315, 0.315, 0.678)
Dy (0.685, 0.685, 0.322)
Dy (0.694, 0.694, 0.860)
Mo (0.218, 0.782, 0.500)
Mo (0.782, 0.218, 0.500)
O (0.001, 0.001, 0.295)
O (0.092, 0.579, 0.417)
O (0.097, 0.593, 0.925)
O (0.407, 0.903, 0.075)
O (0.421, 0.908, 0.583)
O (0.499, 0.499, 0.317)
O (0.501, 0.501, 0.683)
O (0.579, 0.092, 0.417)
O (0.593, 0.097, 0.925)
O (0.903, 0.407, 0.075)
O (0.908, 0.421, 0.583)
O (0.999, 0.999, 0.705)

Calculated values
Formation energy (no corrections), kcal/mol of atoms: -77.985